# 1
Ti3Pt meta-GGA SCAN PBEsol geometry; formation enthalpy at 0 K = -0.8375 eV/atom; SG = Pm-3n
1.0
-3.436 3.407 -1.155
-3.491 -3.544 -0.070
-0.871 0.762 4.839
Ti Pt
6 2
Direct
0.000 0.750 0.500 Ti
0.250 0.500 0.000 Ti
0.500 0.000 0.250 Ti
0.000 0.250 0.500 Ti
0.500 0.000 0.750 Ti
0.750 0.500 0.000 Ti
0.500 0.500 0.500 Pt
0.000 0.000 0.000 Pt


# 2
TiPt8 meta-GGA SCAN PBEsol geometry; formation enthalpy at 0 K = -0.4983 eV/atom; SG = I4/mmm
1.0
3.885 0.000 0.000
1.942 5.866 0.000
1.942 0.000 5.866
Pt Ti
8 1
Direct
0.662 0.676 0.000 Pt
0.338 0.324 0.000 Pt
0.338 0.000 0.324 Pt
0.662 0.000 0.676 Pt
0.000 0.671 0.329 Pt
0.000 0.329 0.671 Pt
0.329 0.671 0.671 Pt
0.671 0.329 0.329 Pt
0.000 0.000 0.000 Ti


# 3
Ti3TlPt meta-GGA SCAN PBEsol geometry; formation enthalpy at 0 K = 1.2684 eV/atom; SG = Pm-3m
1.0
4.904 0.000 0.000
0.000 4.904 0.000
0.000 0.000 4.904
Ti Pt Tl
3 1 1
Direct
0.000 0.000 0.500 Ti
0.500 0.000 0.000 Ti
0.000 0.500 0.000 Ti
0.500 0.500 0.500 Pt
0.000 0.000 0.000 Tl


# 4
TiPt3W meta-GGA SCAN PBEsol geometry; formation enthalpy at 0 K = 1.1786 eV/atom; SG = Pm-3m
1.0
-0.096 1.662 -4.225
-4.514 -0.487 -0.089
-0.486 4.198 1.662
Pt W Ti
3 1 1
Direct
0.000 0.000 0.500 Pt
0.000 0.500 0.000 Pt
0.500 0.000 0.000 Pt
0.500 0.500 0.500 W
0.000 0.000 0.000 Ti


# 5
YTi3Pt meta-GGA SCAN PBEsol geometry; formation enthalpy at 0 K = -0.0469 eV/atom; SG = Pm-3m
1.0
-3.711 -0.528 -3.019
3.063 -0.792 -3.627
-0.099 -4.718 0.946
Pt Y Ti
1 1 3
Direct
0.000 0.000 0.000 Pt
0.500 0.500 0.500 Y
0.000 0.000 0.500 Ti
0.000 0.500 0.000 Ti
0.500 0.000 0.000 Ti


# 6
TiZnPt2 meta-GGA SCAN PBEsol geometry; formation enthalpy at 0 K = -0.8777 eV/atom; SG = Fm-3m
1.0
4.363 0.000 0.000
2.181 3.778 0.000
2.181 1.259 3.562
Pt Ti Zn
2 1 1
Direct
0.750 0.750 0.750 Pt
0.250 0.250 0.250 Pt
0.000 0.000 0.000 Ti
0.500 0.500 0.500 Zn